# TaAlAg2 | the Alexandria database | PBE | relaxed
data_TaAlAg2
_space_group_name_H-M_alt 'P 4/m m m'
_space_group_IT_number 123
_space_group_name_Hall '-P 4 2'
_cell_length_a 3.953
_cell_length_b 3.953
_cell_length_c 4.444
_cell_angle_alpha 90.00
_cell_angle_beta 90.00
_cell_angle_gamma 90.00
loop_
_atom_site_label
_atom_site_type_symbol
_atom_site_fract_x
_atom_site_fract_y
_atom_site_fract_z
Ta1 Ta 0.000 0.000 0.000
Al1 Al 0.500 0.500 0.000
Ag1 Ag 0.000 0.500 0.500
# - formation energy from the elements (eV/atom) = 0.20
# - DOS(E_F) (states/eV per cell) = 2.39

---

# TaAlAg2 | the Alexandria database | PBE | relaxed
data_TaAlAg2
_space_group_name_H-M_alt 'P 1 2/m 1'
_space_group_IT_number 10
_cell_length_a 2.846
_cell_length_b 4.589
_cell_length_c 5.368
_cell_angle_alpha 90.00
_cell_angle_beta 98.71
_cell_angle_gamma 90.00
loop_
_space_group_symop_operation_xyz
'x,y,z'
'-x,-y,-z'
'-x,y,-z'
'x,-y,z'
loop_
_atom_site_label
_atom_site_type_symbol
_atom_site_fract_x
_atom_site_fract_y
_atom_site_fract_z
Ta1 Ta 0.000 0.000 0.000
Al1 Al 0.500 0.000 0.500
Ag1 Ag 0.347 0.500 0.744
# - formation energy from the elements (eV/atom) = 0.16
# - DOS(E_F) (states/eV per cell) = 2.11

---

# TaAlAg | the Alexandria database | PBE | relaxed
data_TaAlAg
_space_group_name_H-M_alt 'F -4 3 m'
_space_group_IT_number 216
_space_group_name_Hall 'F -4 2 3'
_cell_length_a 6.168
_cell_length_b 6.168
_cell_length_c 6.168
_cell_angle_alpha 90.00
_cell_angle_beta 90.00
_cell_angle_gamma 90.00
loop_
_atom_site_label
_atom_site_type_symbol
_atom_site_fract_x
_atom_site_fract_y
_atom_site_fract_z
Ta1 Ta 0.000 0.000 0.000
Al1 Al 0.000 0.000 0.500
Ag1 Ag 0.250 0.250 0.750
# - formation energy from the elements (eV/atom) = 0.60
# - DOS(E_F) (states/eV per cell) = 10.63

---

# TaAlAg2 | the Alexandria database | PBE | relaxed
data_TaAlAg2
_space_group_name_H-M_alt 'P 4 m m'
_space_group_IT_number 99
_cell_length_a 2.917
_cell_length_b 2.917
_cell_length_c 8.037
_cell_angle_alpha 90.00
_cell_angle_beta 90.00
_cell_angle_gamma 90.00
loop_
_space_group_symop_operation_xyz
'x,y,z'
'-y,x,z'
'-x,-y,z'
'y,-x,z'
'-x,y,z'
'y,x,z'
'x,-y,z'
'-y,-x,z'
loop_
_atom_site_label
_atom_site_type_symbol
_atom_site_fract_x
_atom_site_fract_y
_atom_site_fract_z
Ta1 Ta 0.000 0.000 0.000
Al1 Al 0.500 0.500 0.762
Ag1 Ag 0.000 0.000 0.530
Ag2 Ag 0.500 0.500 0.264
# - formation energy from the elements (eV/atom) = -0.02
# - DOS(E_F) (states/eV per cell) = 1.09

---

# TaAlAg2 | the Alexandria database | PBE | relaxed
data_TaAlAg2
_space_group_name_H-M_alt 'P m m m'
_space_group_IT_number 47
_cell_length_a 2.949
_cell_length_b 4.821
_cell_length_c 4.937
_cell_angle_alpha 90.00
_cell_angle_beta 90.00
_cell_angle_gamma 90.00
loop_
_space_group_symop_operation_xyz
'x,y,z'
'-x,-y,-z'
'-x,-y,z'
'x,y,-z'
'x,-y,-z'
'-x,y,z'
'-x,y,-z'
'x,-y,z'
loop_
_atom_site_label
_atom_site_type_symbol
_atom_site_fract_x
_atom_site_fract_y
_atom_site_fract_z
Ta1 Ta 0.000 0.000 0.000
Al1 Al 0.500 0.500 0.000
Ag1 Ag 0.000 0.500 0.500
Ag2 Ag 0.500 0.000 0.500
# - formation energy from the elements (eV/atom) = 0.19
# - DOS(E_F) (states/eV per cell) = 2.87

---

# TaAlAg2 | the Alexandria database | PBE | relaxed
data_TaAlAg2
_space_group_name_H-M_alt 'R 3 m'
_space_group_IT_number 160
_space_group_name_Hall 'R 3 -2"'
_cell_length_a 2.9358
_cell_length_b 2.9358
_cell_length_c 28.1636
_cell_angle_alpha 90.00
_cell_angle_beta 90.00
_cell_angle_gamma 120.00
loop_
_atom_site_label
_atom_site_type_symbol
_atom_site_fract_x
_atom_site_fract_y
_atom_site_fract_z
Ta1 Ta 0.0000 0.0000 0.0000
Al1 Al 0.0000 0.0000 0.2516
Ag1 Ag 0.0000 0.0000 0.5064
Ag2 Ag 0.0000 0.0000 0.7531
# - formation energy from the elements (eV/atom) = 0.06
# - DOS(E_F) (states/eV per cell) = 9.06

---

# TaAlAg2 | the Alexandria database | PBE | relaxed
data_TaAlAg2
_space_group_name_H-M_alt 'I -4 2 d'
_space_group_IT_number 122
_space_group_name_Hall 'I -4 2bw'
_cell_length_a 3.853
_cell_length_b 3.853
_cell_length_c 20.139
_cell_angle_alpha 90.00
_cell_angle_beta 90.00
_cell_angle_gamma 90.00
loop_
_atom_site_label
_atom_site_type_symbol
_atom_site_fract_x
_atom_site_fract_y
_atom_site_fract_z
Ta1 Ta 0.000 0.000 0.000
Al1 Al 0.000 0.000 0.500
Ag1 Ag 0.246 0.250 0.625
# - formation energy from the elements (eV/atom) = 0.48
# - DOS(E_F) (states/eV per cell) = 12.68

---

# TaAlAg | the Alexandria database | PBE | relaxed
data_TaAlAg
_space_group_name_H-M_alt 'P 1 21/m 1'
_space_group_IT_number 11
_cell_length_a 2.925
_cell_length_b 4.559
_cell_length_c 7.735
_cell_angle_alpha 90.00
_cell_angle_beta 96.41
_cell_angle_gamma 90.00
loop_
_space_group_symop_operation_xyz
'x,y,z'
'-x,-y,-z'
'-x,y+1/2,-z'
'x,-y+1/2,z'
loop_
_atom_site_label
_atom_site_type_symbol
_atom_site_fract_x
_atom_site_fract_y
_atom_site_fract_z
Ta1 Ta 0.144 0.250 0.098
Al1 Al 0.363 0.250 0.766
Ag1 Ag 0.266 0.750 0.563
# - formation energy from the elements (eV/atom) = -0.11
# - DOS(E_F) (states/eV per cell) = 3.44

---

# TaAlAg2 | the Alexandria database | PBE | relaxed
data_TaAlAg2
_space_group_name_H-M_alt 'P m m m'
_space_group_IT_number 47
_cell_length_a 2.855
_cell_length_b 4.281
_cell_length_c 5.686
_cell_angle_alpha 90.00
_cell_angle_beta 90.00
_cell_angle_gamma 90.00
loop_
_space_group_symop_operation_xyz
'x,y,z'
'-x,-y,-z'
'-x,-y,z'
'x,y,-z'
'x,-y,-z'
'-x,y,z'
'-x,y,-z'
'x,-y,z'
loop_
_atom_site_label
_atom_site_type_symbol
_atom_site_fract_x
_atom_site_fract_y
_atom_site_fract_z
Ta1 Ta 0.000 0.000 0.000
Al1 Al 0.000 0.000 0.500
Ag1 Ag 0.500 0.500 0.251
# - formation energy from the elements (eV/atom) = 0.23
# - DOS(E_F) (states/eV per cell) = 2.55

---

# TaAlAg2 | the Alexandria database | PBE | relaxed
data_TaAlAg2
_space_group_name_H-M_alt 'P m m 2'
_space_group_IT_number 25
_cell_length_a 2.833
_cell_length_b 3.902
_cell_length_c 6.258
_cell_angle_alpha 90.00
_cell_angle_beta 90.00
_cell_angle_gamma 90.00
loop_
_space_group_symop_operation_xyz
'x,y,z'
'-x,-y,z'
'-x,y,z'
'x,-y,z'
loop_
_atom_site_label
_atom_site_type_symbol
_atom_site_fract_x
_atom_site_fract_y
_atom_site_fract_z
Ta1 Ta 0.000 0.000 0.000
Al1 Al 0.500 0.500 0.760
Ag1 Ag 0.000 0.000 0.519
Ag2 Ag 0.500 0.500 0.264
# - formation energy from the elements (eV/atom) = 0.13
# - DOS(E_F) (states/eV per cell) = 2.30

---

# TaAlAg2 | the Alexandria database | PBE | relaxed
data_TaAlAg2
_space_group_name_H-M_alt 'F -4 3 m'
_space_group_IT_number 216
_space_group_name_Hall 'F -4 2 3'
_cell_length_a 6.519
_cell_length_b 6.519
_cell_length_c 6.519
_cell_angle_alpha 90.00
_cell_angle_beta 90.00
_cell_angle_gamma 90.00
loop_
_atom_site_label
_atom_site_type_symbol
_atom_site_fract_x
_atom_site_fract_y
_atom_site_fract_z
Ta1 Ta 0.000 0.000 0.000
Al1 Al 0.250 0.250 0.250
Ag1 Ag 0.000 0.000 0.500
Ag2 Ag 0.250 0.250 0.750
# - formation energy from the elements (eV/atom) = 0.31
# - DOS(E_F) (states/eV per cell) = 9.91

---

# TaAl3Ag | the Alexandria database | PBE | relaxed
data_TaAl3Ag
_space_group_name_H-M_alt 'P m -3 m'
_space_group_IT_number 221
_space_group_name_Hall '-P 4 2 3'
_cell_length_a 4.693
_cell_length_b 4.693
_cell_length_c 4.693
_cell_angle_alpha 90.00
_cell_angle_beta 90.00
_cell_angle_gamma 90.00
loop_
_atom_site_label
_atom_site_type_symbol
_atom_site_fract_x
_atom_site_fract_y
_atom_site_fract_z
Ta1 Ta 0.000 0.000 0.000
Al1 Al 0.000 0.500 0.500
Ag1 Ag 0.500 0.500 0.500
# - formation energy from the elements (eV/atom) = 1.03
# - DOS(E_F) (states/eV per cell) = 3.08